Entry 1:
Below is crystalline Nd2EuIn at its relaxed geometry, with properties calculated at the PBE level.

a = 5.0762 Å, b = 5.0762 Å, c = 4.9133 Å
α = 90.00°, β = 90.00°, γ = 90.00°
Closest atoms and distances in Å follow each position.
Positions (direct):
Nd 0.0000 0.5000 0.0000  4 In 3.53, 4 Eu 3.53, 4 Nd 3.59
Nd 0.5000 0.0000 0.0000  4 In 3.53, 4 Eu 3.53, 4 Nd 3.59
Eu 0.0000 0.0000 0.5000  8 Nd 3.53, 4 In 3.59
In 0.5000 0.5000 0.5000  8 Nd 3.53, 4 Eu 3.59

Computed properties:
Energy relative to the lowest polymorph listed for this composition (eV per atom): 0.000
Energy relative to the elements (eV/atom): -0.24

Entry 2:
Below is crystalline NdEu2In at its relaxed geometry, with properties calculated at the PBE level.

a = 3.9037 Å, b = 3.9037 Å, c = 9.0073 Å
α = 90.00°, β = 90.00°, γ = 90.00°
Closest atoms and distances in Å follow each position.
Positions (direct):
Nd 0.0000 0.0000 0.0000  8 Eu 3.77, 4 Nd 3.90
Eu 0.5000 0.5000 0.2849  4 In 3.37, 4 Nd 3.77
Eu 0.5000 0.5000 0.7151  4 In 3.37, 4 Nd 3.77
In 0.0000 0.0000 0.5000  8 Eu 3.37

Computed properties:
Energy relative to the lowest polymorph listed for this composition (eV per atom): 0.053
Energy relative to the elements (eV/atom): -0.17